Entry 1:
LaNp2Sn9: relaxed, GGA-PBE.

Results
For the total energy, the calculation gives -0.215 hartree per atom. As for the space group: No. 123. Its crystal system is tetragonal. The value obtained for the energy relative to the elements is -27.8 kJ per mole of atoms.

```
data_LaNp2Sn9
_symmetry_space_group_name_H-M 'P 1'
_symmetry_Int_Tables_number 1
_symmetry_space_group_name_Hall 'P 1'
_cell_length_a 4.706
_cell_length_b 4.706
_cell_length_c 14.064
_cell_angle_alpha 90.00
_cell_angle_beta 90.00
_cell_angle_gamma 90.00
loop_
_atom_site_label
_atom_site_fract_x
_atom_site_fract_y
_atom_site_fract_z
Sn1 0.500 0.500 0.664
Sn2 0.500 0.500 0.000
Sn3 0.000 0.500 0.500
Sn4 0.500 0.000 0.174
Sn5 0.500 0.000 0.826
Sn6 0.000 0.500 0.826
Sn7 0.500 0.000 0.500
Sn8 0.000 0.500 0.174
Sn9 0.500 0.500 0.336
La1 0.000 0.000 0.000
Np1 0.000 0.000 0.662
Np2 0.000 0.000 0.338
```



Entry 2:
LaNpSn6: relaxed, GGA-PBE.

Results
For the total energy, the calculation gives -0.206 hartree per atom. As for the space group: No. 123. Its crystal system is tetragonal. The value obtained for the energy relative to the elements is -35.2 kJ per mole of atoms.

```
data_LaNpSn6
_symmetry_space_group_name_H-M 'P 1'
_symmetry_Int_Tables_number 1
_symmetry_space_group_name_Hall 'P 1'
_cell_length_a 4.737
_cell_length_b 4.737
_cell_length_c 9.409
_cell_angle_alpha 90.00
_cell_angle_beta 90.00
_cell_angle_gamma 90.00
loop_
_atom_site_label
_atom_site_fract_x
_atom_site_fract_y
_atom_site_fract_z
Np1 0.000 0.000 0.500
Sn1 0.500 0.000 0.742
Sn2 0.500 0.000 0.258
Sn3 0.000 0.500 0.742
Sn4 0.500 0.500 0.000
Sn5 0.500 0.500 0.500
Sn6 0.000 0.500 0.258
La1 0.000 0.000 0.000
```



Entry 3:
LaTbNp: relaxed, GGA-PBE.

Results
For the total energy, the calculation gives -0.267 hartree per atom. As for the space group: No. 12. Its crystal system is monoclinic. The value obtained for the energy relative to the elements is 22.5 kJ per mole of atoms.

```
data_LaTbNp
_symmetry_space_group_name_H-M 'P 1'
_symmetry_Int_Tables_number 1
_symmetry_space_group_name_Hall 'P 1'
_cell_length_a 3.602
_cell_length_b 6.059
_cell_length_c 8.658
_cell_angle_alpha 101.51
_cell_angle_beta 102.01
_cell_angle_gamma 90.00
loop_
_atom_site_label
_atom_site_fract_x
_atom_site_fract_y
_atom_site_fract_z
Tb1 0.136 0.327 0.271
Tb2 0.864 0.673 0.729
La1 0.433 0.207 0.865
La2 0.567 0.793 0.135
Np1 0.765 0.131 0.530
Np2 0.235 0.869 0.470
```



Entry 4:
La2NpTc2: relaxed, GGA-PBE.

Results
For the total energy, the calculation gives -0.320 hartree per atom. As for the space group: No. 15. Its crystal system is monoclinic. The value obtained for the energy relative to the elements is -0.8 kJ per mole of atoms.

```
data_La2NpTc2
_symmetry_space_group_name_H-M 'P 1'
_symmetry_Int_Tables_number 1
_symmetry_space_group_name_Hall 'P 1'
_cell_length_a 5.899
_cell_length_b 5.899
_cell_length_c 7.987
_cell_angle_alpha 83.89
_cell_angle_beta 83.89
_cell_angle_gamma 63.78
loop_
_atom_site_label
_atom_site_fract_x
_atom_site_fract_y
_atom_site_fract_z
Tc1 0.001 0.755 0.018
Tc2 0.245 0.999 0.482
Tc3 0.999 0.245 0.982
Tc4 0.755 0.001 0.518
Np1 0.135 0.865 0.250
Np2 0.865 0.135 0.750
La1 0.476 0.225 0.153
La2 0.225 0.476 0.653
La3 0.775 0.524 0.347
La4 0.524 0.775 0.847
```



Entry 5:
La6NpTe8: relaxed, GGA-PBE.

Results
For the total energy, the calculation gives -0.216 hartree per atom. As for the space group: No. 148. Its crystal system is trigonal. The calculation puts the raw formation energy at -1.373 eV per atom.

```
data_La6NpTe8
_symmetry_space_group_name_H-M 'P 1'
_symmetry_Int_Tables_number 1
_symmetry_space_group_name_Hall 'P 1'
_cell_length_a 8.522
_cell_length_b 8.522
_cell_length_c 8.522
_cell_angle_alpha 68.63
_cell_angle_beta 68.63
_cell_angle_gamma 68.63
loop_
_atom_site_label
_atom_site_fract_x
_atom_site_fract_y
_atom_site_fract_z
Np1 0.000 0.000 0.000
La1 0.461 0.701 0.072
La2 0.701 0.072 0.461
La3 0.539 0.299 0.928
La4 0.928 0.539 0.299
La5 0.299 0.928 0.539
La6 0.072 0.461 0.701
Te1 0.189 0.639 0.903
Te2 0.333 0.333 0.333
Te3 0.097 0.811 0.361
Te4 0.361 0.097 0.811
Te5 0.639 0.903 0.189
Te6 0.667 0.667 0.667
Te7 0.811 0.361 0.097
Te8 0.903 0.189 0.639
```



Entry 6:
LaNpTe6: relaxed, GGA-PBE.

Results
For the total energy, the calculation gives -0.198 hartree per atom. As for the space group: No. 38. Its crystal system is orthorhombic. The calculation puts the raw formation energy at -0.803 eV per atom.

```
data_LaNpTe6
_symmetry_space_group_name_H-M 'P 1'
_symmetry_Int_Tables_number 1
_symmetry_space_group_name_Hall 'P 1'
_cell_length_a 13.674
_cell_length_b 13.674
_cell_length_c 4.406
_cell_angle_alpha 90.00
_cell_angle_beta 90.00
_cell_angle_gamma 161.50
loop_
_atom_site_label
_atom_site_fract_x
_atom_site_fract_y
_atom_site_fract_z
Te1 0.076 0.924 0.000
Te2 0.709 0.291 0.000
Te3 0.919 0.081 0.500
Te4 0.576 0.424 0.500
Te5 0.419 0.581 0.000
Te6 0.298 0.702 0.500
La1 0.173 0.827 0.500
Np1 0.830 0.170 0.000
```